Record 1
A geometry-optimized YTa2RhF structure, computed with PBE-GGA.

Calculated values
Formation energy from raw total energies in eV per atom: 1.126

a b c (Å): 5.1696 5.1696 4.0302
angles (deg): 90.00 90.00 90.00
Closest atoms and distances in Å follow each position.
Space group P4/mmm (No. 123)
Unique sites:
Y 0.0000 0.0000 0.0000 [1 per cell]  2 F 2.02
Ta 0.0000 0.5000 0.0000 [2 per cell]  2 Y 2.58
Rh 0.5000 0.5000 0.5000 [1 per cell]  8 Ta 3.28, 4 F 3.66
F 0.0000 0.0000 0.5000 [1 per cell]  2 Y 2.02

=====

Record 2
A geometry-optimized TbPrPuTl structure, computed with PBE-GGA.

Calculated values
Formation enthalpy at 0 K in eV/atom: 0.03

a b c (Å): 7.7848 7.7848 7.7848
angles (deg): 90.00 90.00 90.00
Closest atoms and distances in Å follow each position.
Space group F-43m (No. 216)
Unique sites:
Tb 0.0000 0.0000 0.0000 [4 per cell]  4 Tl 3.37, 4 Pu 3.37
Pr 0.0000 0.0000 0.5000 [4 per cell]  4 Tl 3.37, 4 Pu 3.37
Pu 0.2500 0.2500 0.2500 [4 per cell]  4 Tb 3.37, 4 Pr 3.37
Tl 0.2500 0.2500 0.7500 [4 per cell]  4 Tb 3.37, 4 Pr 3.37

=====

Record 3
A geometry-optimized NdSm6S8 structure, computed with PBE-GGA.

Calculated values
ΔE to the lowest computed polymorph in kJ/mol of formula units: 0.0
Formation energy from raw total energies in eV per atom: -2.044

a b c (Å): 11.3296 11.3296 11.3296
angles (deg): 90.00 90.00 90.00
Closest atoms and distances in Å follow each position.
Space group Fm-3m (No. 225)
Unique sites:
Nd 0.0000 0.0000 0.0000 [4 per cell]  6 S 2.86
Sm 0.0000 0.2500 0.2500 [24 per cell]  6 S 2.83
S 0.0000 0.0000 0.2529 [24 per cell]  4 Sm 2.83, 1 Nd 2.86
S 0.2500 0.2500 0.2500 [8 per cell]  6 Sm 2.83

=====

Record 4
A geometry-optimized Sn3Pd structure, computed with PBE-GGA.

Calculated values
Formation enthalpy at 0 K in eV/atom: -0.21
ΔE to the lowest computed polymorph in kJ/mol of formula units: 27.1

a b c (Å): 4.1927 10.4239 8.6598
angles (deg): 90.00 90.00 90.00
Closest atoms and distances in Å follow each position.
Space group Cmcm (No. 63)
Unique sites:
Sn 0.0000 0.0640 0.2500 [4 per cell]  3 Pd 2.93-3.17
Sn 0.0000 0.3579 0.0486 [8 per cell]  3 Pd 2.86-2.91, 3 Sn 3.08-3.19
Pd 0.0000 0.2397 0.7500 [4 per cell]  9 Sn 2.86-3.17

=====

Which formula does entry 2 have?
TbPrPuTl